# PBE CoSiHg2, relaxed
data_CoSiHg2
_chemical_formula_sum 'Co1 Si1 Hg2'
_space_group_name_H-M_alt 'P 1'
_space_group_IT_number 1
_space_group_name_Hall 'P 1'
_cell_length_a 6.407
_cell_length_b 4.761
_cell_length_c 3.399
_cell_angle_alpha 90.03
_cell_angle_beta 57.91
_cell_angle_gamma 118.90
loop_
_atom_site_label
_atom_site_type_symbol
_atom_site_fract_x
_atom_site_fract_y
_atom_site_fract_z
_atom_site_occupancy
Co1 Co 0.500 0.500 0.000 1
Hg1 Hg 0.000 0.000 0.000 1
Hg2 Hg 0.500 0.000 0.500 1
Si1 Si 0.000 0.500 0.500 1
# volume: 72.2 Å³/cell
# calculated total energy: -2.685 eV/atom
# formation energy (no corrections): 0.5981 eV per atom
# N(E_F): 3.268 states/eV/f.u.
# size of the total moment: 0.35 μB per atom